VASP calculation (PBE-GGA) on a geometry-optimized NdOsNO structure.

```
data_NdOsNO
_chemical_formula_sum 'Nd2 Os2 N2 O2'
_space_group_name_H-M_alt 'P m c 21'
_space_group_IT_number 26
_cell_length_a 3.7719
_cell_length_b 5.6715
_cell_length_c 5.1559
_cell_angle_alpha 90.00
_cell_angle_beta 90.00
_cell_angle_gamma 90.00
loop_
_space_group_symop_operation_xyz
'x,y,z'
'-x,-y,z+1/2'
'-x,y,z'
'x,-y,z+1/2'
loop_
_atom_site_label
_atom_site_type_symbol
_atom_site_fract_x
_atom_site_fract_y
_atom_site_fract_z
_atom_site_occupancy
Nd1 Nd 0.0000 0.1999 0.0000 1
Os1 Os 0.5000 0.3611 0.5042 1
N1 N 0.0000 0.3480 0.4956 1
O1 O 0.5000 0.0545 0.7403 1
```

Summary:
Relative energy among the computed polymorphs (meV per atom): 232

VASP calculation (PBE-GGA) on a geometry-optimized PrNdOs2N2O2 structure.

```
data_PrNdOs2N2O2
_chemical_formula_sum 'Pr1 Nd1 Os2 N2 O2'
_space_group_name_H-M_alt 'P 4 m m'
_space_group_IT_number 99
_cell_length_a 3.8579
_cell_length_b 3.8579
_cell_length_c 8.0004
_cell_angle_alpha 90.00
_cell_angle_beta 90.00
_cell_angle_gamma 90.00
loop_
_space_group_symop_operation_xyz
'x,y,z'
'-y,x,z'
'-x,-y,z'
'y,-x,z'
'-x,y,z'
'y,x,z'
'x,-y,z'
'-y,-x,z'
loop_
_atom_site_label
_atom_site_type_symbol
_atom_site_fract_x
_atom_site_fract_y
_atom_site_fract_z
_atom_site_occupancy
Pr1 Pr 0.0000 0.0000 0.0000 1
Nd1 Nd 0.5000 0.5000 0.3149 1
Os1 Os 0.0000 0.5000 0.6569 1
N1 N 0.0000 0.0000 0.5422 1
N2 N 0.5000 0.5000 0.7724 1
O1 O 0.0000 0.5000 0.1596 1
```

Summary:
Energy (eV/atom): -8.4678

VASP calculation (PBE-GGA) on a geometry-optimized Pm2NdNO2 structure.

```
data_Pm2NdNO2
_chemical_formula_sum 'Pm2 Nd1 N1 O2'
_space_group_name_H-M_alt 'P -3 m 1'
_space_group_IT_number 164
_space_group_name_Hall '-P 3 2"'
_cell_length_a 3.5469
_cell_length_b 3.5469
_cell_length_c 8.6951
_cell_angle_alpha 90.00
_cell_angle_beta 90.00
_cell_angle_gamma 120.00
loop_
_atom_site_label
_atom_site_type_symbol
_atom_site_fract_x
_atom_site_fract_y
_atom_site_fract_z
_atom_site_occupancy
Pm1 Pm 0.3333 0.6667 0.1623 1
Nd1 Nd 0.0000 0.0000 0.5000 1
N1 N 0.0000 0.0000 0.0000 1
O1 O 0.3333 0.6667 0.6659 1
```

Summary:
Energy (eV/atom): -7.7918

VASP calculation (PBE-GGA) on a geometry-optimized PmNd2NO2 structure.

```
data_PmNd2NO2
_chemical_formula_sum 'Pm1 Nd2 N1 O2'
_space_group_name_H-M_alt 'P -3 m 1'
_space_group_IT_number 164
_space_group_name_Hall '-P 3 2"'
_cell_length_a 3.5627
_cell_length_b 3.5627
_cell_length_c 8.7137
_cell_angle_alpha 90.00
_cell_angle_beta 90.00
_cell_angle_gamma 120.00
loop_
_atom_site_label
_atom_site_type_symbol
_atom_site_fract_x
_atom_site_fract_y
_atom_site_fract_z
_atom_site_occupancy
Pm1 Pm 0.0000 0.0000 0.0000 1
Nd1 Nd 0.3333 0.6667 0.6628 1
N1 N 0.0000 0.0000 0.5000 1
O1 O 0.3333 0.6667 0.1549 1
```

Summary:
Relative energy among the computed polymorphs (meV per atom): 4

| no. | calculated volume (A^3/atom) |
| --- | --- |
| 1 | 13.787 |
| 2 | 14.884 |
| 3 | 15.789 |
| 4 | 15.964 |